First-principles (PBE-GGA) data for AlHg2S after structural relaxation, as listed in Alexandria.

Cell lengths 6.6483, 6.6483, 6.8195 Å; angles 60.83, 60.83, 90.00 degrees
Positions (direct):
Hg 0.6258 0.1250 0.2500
Hg 0.1242 0.6250 0.2500
Hg 0.8750 0.8758 0.7500
Hg 0.3750 0.3742 0.7500
S 0.7500 0.2500 0.5000
S 0.0000 0.0000 0.0000
Al 0.5000 0.5000 0.0000
Al 0.2500 0.7500 0.5000

For the density, the calculation gives 7000 kg/m³. As for the volume: 109.2 Å³/f.u. The energy is -15.8 eV per cell. As for the space group: I-42d (122).



First-principles (PBE-GGA) data for Al2HgS4 after structural relaxation, as listed in Alexandria.

Cell lengths 7.3512, 7.3512, 7.3512 Å; angles 60.00, 60.00, 60.00 degrees
Positions (direct):
Al 0.1250 0.6250 0.6250
Al 0.6250 0.1250 0.6250
Al 0.6250 0.6250 0.6250
Al 0.6250 0.6250 0.1250
Hg 0.2500 0.2500 0.2500
Hg 0.0000 0.0000 0.0000
S 0.3905 0.8286 0.3905
S 0.8595 0.4214 0.8595
S 0.8595 0.8595 0.8595
S 0.4214 0.8595 0.8595
S 0.3905 0.3905 0.3905
S 0.3905 0.3905 0.8286
S 0.8286 0.3905 0.3905
S 0.8595 0.8595 0.4214

For the density, the calculation gives 4526 kg/m³. As for the volume: 140.5 Å³/f.u. The energy is -59.9 eV per cell. As for the space group: Fd-3m (227).



First-principles (PBE-GGA) data for Al2HgS4 after structural relaxation, as listed in Alexandria.

Cell lengths 6.5102, 6.5102, 6.5102 Å; angles 128.74, 128.74, 75.44 degrees
Positions (direct):
S 0.5834 0.5974 0.4518
S 0.4026 0.8544 0.9860
S 0.1456 0.1316 0.5482
S 0.8684 0.4166 0.0140
Hg 0.0000 0.0000 0.0000
Al 0.2500 0.7500 0.5000
Al 0.5000 0.5000 0.0000

For the density, the calculation gives 3891 kg/m³. As for the volume: 163.4 Å³/f.u. The energy is -30.1 eV per cell. As for the space group: I-4 (82).



First-principles (PBE-GGA) data for AlHgS3 after structural relaxation, as listed in Alexandria.

Cell lengths 4.6661, 4.6661, 4.6661 Å; angles 90.00, 90.00, 90.00 degrees
Positions (direct):
Al 0.0000 0.0000 0.0000
Hg 0.5000 0.5000 0.5000
S 0.0000 0.0000 0.5000
S 0.0000 0.5000 0.0000
S 0.5000 0.0000 0.0000

For the density, the calculation gives 5292 kg/m³. As for the volume: 101.6 Å³/f.u. The energy is -16.0 eV per cell. As for the space group: Pm-3m (221).



First-principles (PBE-GGA) data for Al2Hg2S5 after structural relaxation, as listed in Alexandria.

Cell lengths 3.5709, 6.6919, 9.8665 Å; angles 106.06, 100.43, 90.00 degrees
Positions (direct):
Hg 0.8499 0.1792 0.6998
Hg 0.1501 0.8208 0.3002
S 0.6800 0.1054 0.3601
S 0.3200 0.8946 0.6399
S 0.0000 0.0000 0.0000
S 0.9122 0.5479 0.8244
S 0.0878 0.4521 0.1756
Al 0.5817 0.2241 0.1634
Al 0.4183 0.7759 0.8366

For the density, the calculation gives 4593 kg/m³. As for the volume: 222.5 Å³/f.u. The energy is -33.1 eV per cell. As for the space group: C2/m (12).



First-principles (PBE-GGA) data for Al2SiHgS after structural relaxation, as listed in Alexandria.

Cell lengths 4.7134, 4.7460, 4.7134 Å; angles 90.00, 90.00, 90.00 degrees
Positions (direct):
S 0.0000 0.0000 0.0000
Si 0.0000 0.5000 0.0000
Al 0.0000 0.0000 0.5000
Al 0.5000 0.0000 0.0000
Hg 0.5000 0.5000 0.5000

For the density, the calculation gives 4956 kg/m³. As for the volume: 105.4 Å³/f.u. The energy is -14.8 eV per cell. As for the space group: P4/mmm (123).